# 1
A relaxed Sr2NiHgH6 crystal, computed with PBE.

Summary:
Total DFT energy (no corrections)   -3.242 eV per atom
V   11.95 Å³/atom

Cell: 7.819 7.819 7.819 Å, 90.00 90.00 90.00°
Space group Fm-3m (No. 225)
Inequivalent atoms, fractional coordinates:
Sr  0.250  0.250  0.250 x8
Ni  0.000  0.000  0.000 x4
Hg  0.000  0.000  0.500 x4
H  0.000  0.000  0.208 x24

---

# 2
A relaxed Tb2GdIn3IrAu2 crystal, computed with PBE.

Summary:
Total DFT energy (no corrections)   -4.906 eV per atom
V   22.84 Å³/atom

Cell: 3.974 13.388 7.726 Å, 90.00 90.00 90.00°
Space group Amm2 (No. 38)
Inequivalent atoms, fractional coordinates:
Tb  0.000  0.198  0.000 x4
Gd  0.000  0.000  0.596 x2
In  0.500  0.000  0.945 x2
In  0.500  0.127  0.325 x4
Ir  0.000  0.000  0.198 x2
Au  0.500  0.167  0.699 x4

---

# 3
A relaxed BaMgCuSb2 crystal, computed with PBE.

Summary:
Total DFT energy (no corrections)   -3.553 eV per atom
V   29.99 Å³/atom

Cell: 4.5927 4.5927 8.2092 Å, 90.00 90.00 120.00°
Space group P3m1 (No. 156)
Inequivalent atoms, fractional coordinates:
Ba  0.0000  0.0000  0.0000 x1
Mg  0.3333  0.6667  0.6114 x1
Cu  0.6667  0.3333  0.3764 x1
Sb  0.3333  0.6667  0.2751 x1
Sb  0.6667  0.3333  0.7186 x1

---

# 4
A relaxed ZrCoPdPb crystal, computed with PBE.

Summary:
E above lowest polymorph   0.0 kJ/mol of formula units
V   17.76 Å³/atom

Cell: 6.574 6.574 6.574 Å, 90.00 90.00 90.00°
Space group F-43m (No. 216)
Inequivalent atoms, fractional coordinates:
Zr  0.000  0.000  0.000 x4
Co  0.250  0.250  0.750 x4
Pd  0.250  0.250  0.250 x4
Pb  0.000  0.000  0.500 x4